# FeOsAu, relaxed, DFT PBEsol
# **Formation energy from the elements**: 1.3525 eV/atom
# **Energy above the lowest structure with this stoichiometry**: 1059 meV/atom
data_FeOsAu
_chemical_formula_sum 'Fe1 Os1 Au1'
_symmetry_space_group_name_H-M 'P 1'
_symmetry_Int_Tables_number 1
_symmetry_space_group_name_Hall 'P 1'
_cell_length_a 4.1604
_cell_length_b 4.1604
_cell_length_c 4.1604
_cell_angle_alpha 60.00
_cell_angle_beta 60.00
_cell_angle_gamma 60.00
loop_
_atom_site_label
_atom_site_fract_x
_atom_site_fract_y
_atom_site_fract_z
_atom_site_occupancy
Fe1 0.0000 0.0000 0.0000 1
Os1 0.5000 0.5000 0.5000 1
Au1 0.7500 0.7500 0.7500 1